Ca2ReHgN | PBE | relaxed

a b c (Å): 5.1252 5.1252 3.8691
angles (deg): 90.00 90.00 90.00
Closest atoms and distances in Å follow each position.
Sites, in units of the cell vectors:
Ca 0.0000 0.5000 0.0000  2 N 2.56
Ca 0.5000 0.0000 0.0000  2 N 2.56
Re 0.0000 0.0000 0.5000  2 N 1.93
Hg 0.5000 0.5000 0.5000  8 Ca 3.21
N 0.0000 0.0000 0.0000  2 Re 1.93

## Properties
Its uncorrected formation energy is -0.371 eV per atom. As for the space-group type: No. 123. The calculated total energy is -26.935 eV for the cell shown.

TlSn2Sb | PBE | relaxed

a b c (Å): 5.5305 6.6123 6.5337
angles (deg): 90.00 90.00 90.00
Closest atoms and distances in Å follow each position.
Sites, in units of the cell vectors:
Tl 0.2500 0.2500 0.1143  4 Sb 3.40-3.59, 6 Sn 3.50-3.54
Tl 0.7500 0.7500 0.8857  4 Sb 3.40-3.59, 6 Sn 3.50-3.54
Sn 0.2500 0.5121 0.6493  3 Sb 3.13-3.35, 4 Sn 3.15-3.47, 1 Tl 3.50
Sn 0.2500 0.9879 0.6493  3 Sb 3.13-3.35, 4 Sn 3.15-3.47, 1 Tl 3.50
Sn 0.7500 0.0121 0.3507  3 Sb 3.13-3.35, 4 Sn 3.15-3.47, 1 Tl 3.50
Sn 0.7500 0.4879 0.3507  3 Sb 3.13-3.35, 4 Sn 3.15-3.47, 1 Tl 3.50
Sb 0.2500 0.7500 0.2354  6 Sn 3.13-3.35, 2 Tl 3.40
Sb 0.7500 0.2500 0.7646  6 Sn 3.13-3.35, 2 Tl 3.40

## Properties
For the energy relative to the lowest polymorph listed for this composition, the calculation gives 16 kJ/mol of formula units. Its uncorrected formation energy is 0.087 eV per atom. As for the space-group type: No. 59. The calculated total energy is -28.294 eV for the cell shown.

Tb8TlSn2 | PBE | relaxed

a b c (Å): 10.0841 10.0841 6.8814
angles (deg): 103.22 103.22 29.32
Closest atoms and distances in Å follow each position.
Sites, in units of the cell vectors:
Tb 0.0211 0.0211 0.2634  2 Tl 3.11, 1 Sn 3.14
Tb 0.2146 0.2146 0.8251  3 Sn 3.19-3.39, 4 Tb 3.40-3.56
Tb 0.3412 0.3412 0.5007  1 Tl 3.10, 3 Sn 3.13-3.17, 2 Tb 3.40
Tb 0.4071 0.4071 0.0216  1 Tl 3.36, 2 Sn 3.41, 7 Tb 3.51-3.71
Tb 0.5929 0.5929 0.9784  1 Tl 3.36, 2 Sn 3.41, 7 Tb 3.51-3.71
Tb 0.6588 0.6588 0.4993  1 Tl 3.10, 3 Sn 3.13-3.17, 2 Tb 3.40
Tb 0.7854 0.7854 0.1749  3 Sn 3.19-3.39, 4 Tb 3.40-3.56
Tb 0.9789 0.9789 0.7366  2 Tl 3.11, 1 Sn 3.14
Tl 0.5000 0.5000 0.5000  8 Tb 3.10-3.36
Sn 0.1815 0.1815 0.2580  9 Tb 3.13-3.41
Sn 0.8185 0.8185 0.7420  9 Tb 3.13-3.41

## Properties
As for the space-group type: No. 12. The energy relative to the elements comes out at -0.31 eV/atom. The calculated total energy is -50.820 eV for the cell shown.

La3Ge2N6 | PBE | relaxed

a b c (Å): 10.6420 10.6420 10.6420
angles (deg): 158.87 158.87 30.06
Closest atoms and distances in Å follow each position.
Sites, in units of the cell vectors:
La 0.0000 0.0000 0.0000  8 N 2.62
La 0.1831 0.1831 0.0000  1 N 2.44
La 0.8169 0.8169 0.0000  1 N 2.44
Ge 0.3940 0.3940 0.0000  5 N 1.89-2.00
Ge 0.6060 0.6060 0.0000  5 N 1.89-2.00
N 0.0848 0.5848 0.5000  2 Ge 2.00
N 0.3019 0.3019 0.0000  1 Ge 1.89
N 0.4152 0.9152 0.5000  2 Ge 2.00
N 0.5848 0.0848 0.5000  2 Ge 2.00
N 0.6981 0.6981 0.0000  1 Ge 1.89
N 0.9152 0.4152 0.5000  2 Ge 2.00

## Properties
Its uncorrected formation energy is -0.686 eV per atom. As for the space-group type: No. 139. The calculated total energy is -81.511 eV for the cell shown.

BiTe3Pd2 | PBE | relaxed

a b c (Å): 8.2363 8.2363 5.3061
angles (deg): 90.00 90.00 120.00
Closest atoms and distances in Å follow each position.
Sites, in units of the cell vectors:
Bi 0.3333 0.6667 0.1961  3 Pd 2.87
Bi 0.6667 0.3333 0.8039  3 Pd 2.87
Te 0.1722 0.3445 0.7513  3 Pd 2.69-2.80
Te 0.1722 0.8278 0.7513  3 Pd 2.69-2.80
Te 0.3445 0.1722 0.2487  3 Pd 2.69-2.80
Te 0.6555 0.8278 0.7513  3 Pd 2.69-2.80
Te 0.8278 0.1722 0.2487  3 Pd 2.69-2.80
Te 0.8278 0.6555 0.2487  3 Pd 2.69-2.80
Pd 0.0000 0.0000 0.5000  6 Te 2.80
Pd 0.0000 0.5000 0.5000  4 Te 2.69, 2 Bi 2.87
Pd 0.5000 0.0000 0.5000  4 Te 2.69, 2 Bi 2.87
Pd 0.5000 0.5000 0.5000  4 Te 2.69, 2 Bi 2.87

## Properties
Its uncorrected formation energy is -0.318 eV per atom. As for the space-group type: No. 164. The calculated total energy is -51.197 eV for the cell shown.

Pu2NpCrN5 | PBE | relaxed

a b c (Å): 6.9117 6.9117 10.2377
angles (deg): 90.00 90.00 151.46
Closest atoms and distances in Å follow each position.
Sites, in units of the cell vectors:
Pu 0.1012 0.8988 0.5000  6 N 2.38-2.58
Pu 0.1421 0.8579 0.1143  7 N 2.42-2.67
Pu 0.8579 0.1421 0.6143  7 N 2.42-2.67
Pu 0.8988 0.1012 0.0000  6 N 2.38-2.58
Np 0.2060 0.7940 0.8245  6 N 2.21-2.26
Np 0.7940 0.2060 0.3245  6 N 2.21-2.26
Cr 0.4850 0.5150 0.2681  4 N 1.83-1.96
Cr 0.5150 0.4850 0.7681  4 N 1.83-1.96
N 0.0414 0.9586 0.8522  2 Cr 1.94
N 0.2772 0.7228 0.4684  2 Np 2.26, 3 Pu 2.38-2.51
N 0.3241 0.6759 0.1921  2 Np 2.21, 1 Cr 2.29
N 0.3734 0.6266 0.8142  1 Cr 1.96
N 0.4854 0.5146 0.5936  1 Cr 1.83
N 0.5146 0.4854 0.0936  1 Cr 1.83
N 0.6266 0.3734 0.3142  1 Cr 1.96
N 0.6759 0.3241 0.6921  2 Np 2.21, 1 Cr 2.29
N 0.7228 0.2772 0.9684  2 Np 2.26, 3 Pu 2.38-2.51
N 0.9586 0.0414 0.3522  2 Cr 1.94

## Properties
Its uncorrected formation energy is -0.993 eV per atom. As for the space-group type: No. 36. The calculated total energy is -203.578 eV for the cell shown.

Repeat the sixth record exactly.
Pu2NpCrN5 | PBE | relaxed

a b c (Å): 6.9117 6.9117 10.2377
angles (deg): 90.00 90.00 151.46
Closest atoms and distances in Å follow each position.
Sites, in units of the cell vectors:
Pu 0.1012 0.8988 0.5000  6 N 2.38-2.58
Pu 0.1421 0.8579 0.1143  7 N 2.42-2.67
Pu 0.8579 0.1421 0.6143  7 N 2.42-2.67
Pu 0.8988 0.1012 0.0000  6 N 2.38-2.58
Np 0.2060 0.7940 0.8245  6 N 2.21-2.26
Np 0.7940 0.2060 0.3245  6 N 2.21-2.26
Cr 0.4850 0.5150 0.2681  4 N 1.83-1.96
Cr 0.5150 0.4850 0.7681  4 N 1.83-1.96
N 0.0414 0.9586 0.8522  2 Cr 1.94
N 0.2772 0.7228 0.4684  2 Np 2.26, 3 Pu 2.38-2.51
N 0.3241 0.6759 0.1921  2 Np 2.21, 1 Cr 2.29
N 0.3734 0.6266 0.8142  1 Cr 1.96
N 0.4854 0.5146 0.5936  1 Cr 1.83
N 0.5146 0.4854 0.0936  1 Cr 1.83
N 0.6266 0.3734 0.3142  1 Cr 1.96
N 0.6759 0.3241 0.6921  2 Np 2.21, 1 Cr 2.29
N 0.7228 0.2772 0.9684  2 Np 2.26, 3 Pu 2.38-2.51
N 0.9586 0.0414 0.3522  2 Cr 1.94

## Properties
Its uncorrected formation energy is -0.993 eV per atom. As for the space-group type: No. 36. The calculated total energy is -203.578 eV for the cell shown.

Question: Number 1 is which compound?
Answer: Ca2ReHgN